(1)
Na2Pa2MnN6: optimized geometry, PBE.

Unit cell a=5.776 b=9.921 c=5.993 alpha=90.00 beta=104.04 gamma=90.00
Space group C2/m (No. 12)
Asymmetric unit:
Na  0.000  0.149  0.000
Pa  0.000  0.336  0.500
Mn  0.000  0.000  0.500
N  0.198  0.159  0.676
N  0.245  0.000  0.321

Summary:
Crystal system: monoclinic
Electronic total energy in eV/atom: -7.9551
Energy relative to the elements, uncorrected in eV per atom: -0.6141
Spin magnetization in μB per cell: 1.883

---

(2)
TbGa4NiRh2: optimized geometry, PBE.

Unit cell a=4.2174 b=4.2174 c=25.5679 alpha=90.00 beta=90.00 gamma=120.00
Space group R-3m (No. 166, hexagonal axes)
Asymmetric unit:
Tb  0.0000  0.0000  0.0000
Ga  0.0000  0.0000  0.1323
Ga  0.0000  0.0000  0.4006
Ni  0.0000  0.0000  0.5000
Rh  0.0000  0.0000  0.2332

Summary:
Crystal system: trigonal
Electronic total energy in eV/atom: -5.2658
Spin magnetization in μB per cell: 0.000

---

(3)
LaY2Sc: optimized geometry, PBE.

Unit cell a=3.786 b=5.742 c=11.623 alpha=90.00 beta=90.00 gamma=90.00
Space group Cmmm (No. 65)
Asymmetric unit:
La  0.000  0.000  0.000
Y  0.000  0.500  0.271
Sc  0.000  0.000  0.500

Summary:
Crystal system: orthorhombic
Electronic total energy in eV/atom: -5.9140
Spin magnetization in μB per cell: 0.001
Excess energy over the best structure of this formula in the dataset in meV/atom: 98

---

(4)
ScCdB: optimized geometry, PBE.

Unit cell a=6.607 b=3.796 c=7.496 alpha=90.00 beta=90.00 gamma=90.00
Space group Pnma (No. 62)
Asymmetric unit:
Sc  0.028  0.250  0.171
Cd  0.153  0.250  0.556
B  0.219  0.250  0.876

Summary:
Crystal system: orthorhombic
Electronic total energy in eV/atom: -4.6626
Spin magnetization in μB per cell: 0.000
Excess energy over the best structure of this formula in the dataset in meV/atom: 469

---

(5)
CuPb3I: optimized geometry, PBE.

Unit cell a=5.418 b=5.418 c=5.418 alpha=90.00 beta=90.00 gamma=90.00
Space group Pm-3m (No. 221)
Asymmetric unit:
Cu  0.000  0.000  0.000
Pb  0.000  0.000  0.500
I  0.500  0.500  0.500

Summary:
Crystal system: cubic
Electronic total energy in eV/atom: -3.1716
Energy relative to the elements, uncorrected in eV per atom: 0.1827
Spin magnetization in μB per cell: 0.000
Excess energy over the best structure of this formula in the dataset in meV/atom: 0

---

(6)
HfNbGe3: optimized geometry, PBE.

Unit cell a=4.906 b=4.906 c=4.906 alpha=90.00 beta=90.00 gamma=90.00
Space group Pm-3m (No. 221)
Asymmetric unit:
Hf  0.000  0.000  0.000
Nb  0.500  0.500  0.500
Ge  0.000  0.500  0.500

Summary:
Crystal system: cubic
Electronic total energy in eV/atom: -6.1094
Spin magnetization in μB per cell: 0.000

---

(7)
Na2YTlCl6: optimized geometry, PBE.

Unit cell a=7.2335 b=7.2335 c=19.7581 alpha=90.00 beta=90.00 gamma=120.00
Space group R3 (No. 146, hexagonal axes)
Asymmetric unit:
Na  0.0000  0.0000  0.0000
Na  0.0000  0.0000  0.4850
Y  0.0000  0.0000  0.6813
Tl  0.0000  0.0000  0.2011
Cl  0.0072  0.3205  0.7496
Cl  0.0291  0.6172  0.2607

Summary:
Crystal system: trigonal
Electronic total energy in eV/atom: -4.1048
Energy relative to the elements, uncorrected in eV per atom: -1.8500
Spin magnetization in μB per cell: 0.000

---

(8)
BBrF: optimized geometry, PBE.

Unit cell a=4.702 b=5.287 c=7.525 alpha=74.75 beta=71.85 gamma=87.54
Space group P1 (No. 1)
Asymmetric unit:
B  0.000  0.000  0.000
B  0.131  0.950  0.775
Br  0.003  0.180  0.571
Br  0.679  0.770  0.193
F  0.096  0.197  0.049
F  0.305  0.755  0.732

Summary:
Crystal system: triclinic
Electronic total energy in eV/atom: -4.7332
Energy relative to the elements, uncorrected in eV per atom: -1.3260
Spin magnetization in μB per cell: 0.000
Excess energy over the best structure of this formula in the dataset in meV/atom: 0

---

(9)
Tb4SmGd: optimized geometry, PBE.

Unit cell a=9.361 b=9.361 c=9.361 alpha=90.00 beta=90.00 gamma=90.00
Space group F-43m (No. 216)
Asymmetric unit:
Tb  0.125  0.125  0.125
Sm  0.250  0.250  0.750
Gd  0.000  0.000  0.500

Summary:
Crystal system: cubic
Electronic total energy in eV/atom: -5.9686
Spin magnetization in μB per cell: 33.323

---

(10)
LiY2BPd: optimized geometry, PBE.

Unit cell a=5.103 b=5.103 c=4.001 alpha=90.00 beta=90.00 gamma=90.00
Space group P4/mmm (No. 123)
Asymmetric unit:
Li  0.000  0.000  0.000
Y  0.000  0.500  0.000
B  0.500  0.500  0.500
Pd  0.000  0.000  0.500

Summary:
Crystal system: tetragonal
Electronic total energy in eV/atom: -4.6659
Spin magnetization in μB per cell: 0.000

---

(11)
Ac3Pm3YSe8: optimized geometry, PBE.

Unit cell a=8.5222 b=8.5222 c=21.5078 alpha=90.00 beta=90.00 gamma=120.00
Space group R-3m (No. 166, hexagonal axes)
Asymmetric unit:
Ac  0.0000  0.5000  0.0000
Pm  0.0000  0.5000  0.5000
Y  0.0000  0.0000  0.5000
Se  0.0000  0.0000  0.2442
Se  0.0034  0.5017  0.2436

Summary:
Crystal system: trigonal
Electronic total energy in eV/atom: -5.9463
Energy relative to the elements, uncorrected in eV per atom: -1.8851
Spin magnetization in μB per cell: 0.000

---

(12)
Ba2PaPt2S6: optimized geometry, PBE.

Unit cell a=13.329 b=6.579 c=7.941 alpha=90.00 beta=122.92 gamma=90.00
Space group C2/m (No. 12)
Asymmetric unit:
Ba  0.218  0.000  0.210
Pa  0.000  0.000  0.500
Pt  0.078  0.500  0.273
S  0.067  0.263  0.798
S  0.227  0.000  0.623

Summary:
Crystal system: monoclinic
Electronic total energy in eV/atom: -5.7682
Energy relative to the elements, uncorrected in eV per atom: -1.2057
Spin magnetization in μB per cell: 0.000

---

(13)
MgIr2Br: optimized geometry, PBE.

Unit cell a=6.404 b=6.404 c=6.404 alpha=90.00 beta=90.00 gamma=90.00
Space group Fm-3m (No. 225)
Asymmetric unit:
Mg  0.000  0.000  0.000
Ir  0.250  0.250  0.250
Br  0.000  0.000  0.500

Summary:
Crystal system: cubic
Electronic total energy in eV/atom: -4.4881
Energy relative to the elements, uncorrected in eV per atom: 0.7593
Spin magnetization in μB per cell: 0.000
Excess energy over the best structure of this formula in the dataset in meV/atom: 656

---

(14)
Zn5GeRh6: optimized geometry, PBE.

Unit cell a=4.263 b=12.810 c=6.064 alpha=90.00 beta=90.00 gamma=90.00
Space group Cmmm (No. 65)
Asymmetric unit:
Zn  0.000  0.000  0.000
Zn  0.000  0.327  0.500
Zn  0.000  0.333  0.000
Ge  0.000  0.000  0.500
Rh  0.000  0.163  0.252
Rh  0.000  0.500  0.259

Summary:
Crystal system: orthorhombic
Electronic total energy in eV/atom: -5.0675
Spin magnetization in μB per cell: 0.000

---

(15)
Ba2NaSr2: optimized geometry, PBE.

Unit cell a=4.404 b=4.404 c=28.663 alpha=90.00 beta=90.00 gamma=90.00
Space group I4/mmm (No. 139)
Asymmetric unit:
Ba  0.000  0.000  0.091
Na  0.000  0.000  0.500
Sr  0.000  0.000  0.301

Summary:
Crystal system: tetragonal
Electronic total energy in eV/atom: -1.6937
Spin magnetization in μB per cell: 0.000
Excess energy over the best structure of this formula in the dataset in meV/atom: 0

---

(16)
GaS3Cl3: optimized geometry, PBE.

Unit cell a=7.745 b=8.797 c=8.862 alpha=102.40 beta=108.53 gamma=113.76
Space group P-1 (No. 2)
Asymmetric unit:
Ga  0.111  0.287  0.354
S  0.168  0.909  0.376
S  0.178  0.936  0.148
S  0.347  0.161  0.381
Cl  0.166  0.433  0.189
Cl  0.210  0.939  0.761
Cl  0.238  0.460  0.624

Summary:
Crystal system: triclinic
Electronic total energy in eV/atom: -3.4619
Energy relative to the elements, uncorrected in eV per atom: -0.4692
Spin magnetization in μB per cell: 0.000

---

(17)
Ac3TbB2N6: optimized geometry, PBE.

Unit cell a=5.7614 b=5.7614 c=6.6637 alpha=90.00 beta=90.00 gamma=120.00
Space group P-3m1 (No. 164)
Asymmetric unit:
Ac  0.0000  0.0000  0.0000
Ac  0.3333  0.6667  0.6737
Tb  0.0000  0.0000  0.5000
B  0.3333  0.6667  0.2598
N  0.1860  0.3720  0.2804

Summary:
Crystal system: trigonal
Electronic total energy in eV/atom: -7.8806
Energy relative to the elements, uncorrected in eV per atom: -1.1921
Spin magnetization in μB per cell: 0.000

---

(18)
Ca2SbAs: optimized geometry, PBE.

Unit cell a=4.400 b=4.400 c=6.241 alpha=90.00 beta=90.00 gamma=90.00
Space group P4mm (No. 99)
Asymmetric unit:
Ca  0.000  0.000  0.000
Ca  0.500  0.500  0.499
Sb  0.000  0.000  0.500
As  0.500  0.500  0.999

Summary:
Crystal system: tetragonal
Electronic total energy in eV/atom: -3.8647
Energy relative to the elements, uncorrected in eV per atom: -0.6709
Spin magnetization in μB per cell: 0.006

---

(19)
RbCd9Au2: optimized geometry, PBE.

Unit cell a=12.099 b=12.099 c=7.821 alpha=90.00 beta=90.00 gamma=90.00
Space group I4_1/amd (No. 141, origin choice 2)
Asymmetric unit:
Rb  0.000  0.250  0.375
Cd  0.000  0.250  0.875
Cd  0.121  0.047  0.682
Au  0.000  0.000  0.000

Summary:
Crystal system: tetragonal
Electronic total energy in eV/atom: -1.4601
Spin magnetization in μB per cell: 0.000

---

(20)
Zr4Sc: optimized geometry, PBE.

Unit cell a=4.933 b=6.319 c=14.942 alpha=90.00 beta=90.00 gamma=90.00
Space group Imma (No. 74)
Asymmetric unit:
Zr  0.000  0.000  0.000
Zr  0.000  0.004  0.201
Zr  0.000  0.250  0.396
Sc  0.000  0.250  0.607

Summary:
Crystal system: orthorhombic
Electronic total energy in eV/atom: -8.0848
Spin magnetization in μB per cell: 0.000
Excess energy over the best structure of this formula in the dataset in meV/atom: 0

---

(21)
ZrScSn2: optimized geometry, PBE.

Unit cell a=7.900 b=7.900 c=6.300 alpha=90.00 beta=90.00 gamma=90.00
Space group I-42d (No. 122)
Asymmetric unit:
Zr  0.000  0.000  0.000
Sc  0.000  0.000  0.500
Sn  0.248  0.250  0.625

Summary:
Crystal system: tetragonal
Electronic total energy in eV/atom: -5.9895
Spin magnetization in μB per cell: 0.000
Excess energy over the best structure of this formula in the dataset in meV/atom: 266

---

(22)
CaCoAg: optimized geometry, PBE.

Unit cell a=3.2354 b=3.2354 c=6.6859 alpha=90.00 beta=90.00 gamma=120.00
Space group P3m1 (No. 156)
Asymmetric unit:
Ca  0.0000  0.0000  0.0000
Co  0.6667  0.3333  0.3232
Ag  0.3333  0.6667  0.6138

Summary:
Crystal system: trigonal
Electronic total energy in eV/atom: -3.4169
Spin magnetization in μB per cell: 1.465

---

(23)
SbTeOs2: optimized geometry, PBE.

Unit cell a=6.396 b=7.085 c=3.181 alpha=90.00 beta=90.00 gamma=90.00
Space group Cmmm (No. 65)
Asymmetric unit:
Sb  0.000  0.000  0.000
Te  0.000  0.500  0.000
Os  0.250  0.250  0.500

Summary:
Crystal system: orthorhombic
Electronic total energy in eV/atom: -6.6117
Energy relative to the elements, uncorrected in eV per atom: 0.8191
Spin magnetization in μB per cell: 0.000
Excess energy over the best structure of this formula in the dataset in meV/atom: 427

---

(24)
Nb2Mo2Ru: optimized geometry, PBE.

Unit cell a=3.270 b=16.583 c=3.155 alpha=90.00 beta=90.00 gamma=90.00
Space group Cmmm (No. 65)
Asymmetric unit:
Nb  0.000  0.097  0.000
Mo  0.000  0.308  0.500
Ru  0.000  0.500  0.500

Summary:
Crystal system: orthorhombic
Electronic total energy in eV/atom: -9.9997
Spin magnetization in μB per cell: 0.000